(1)
{"formula": "IrPdPt", "functional": "GGA-PBE", "state": "optimized geometry", "spacegroup": "No. 156", "relative_energy_ev_per_atom": 0.000, "ef_mev_per_atom": 52, "dos_ef_per_ev_cell": 4.37, "rho_g_cm3": 18.1, "cell": [[2.780, 0.000, 0.000], [-1.390, 2.407, 0.000], [0.000, 0.000, 6.773]], "species": ["Ir", "Pd", "Pt"], "frac_coords": [[0.667, 0.333, 0.332], [0.000, 0.000, 0.005], [0.333, 0.667, 0.663]]}

(2)
{"formula": "IrPd4Pt", "functional": "GGA-PBE", "state": "optimized geometry", "spacegroup": "No. 112", "ef_mev_per_atom": 423, "dos_ef_per_ev_cell": 19.81, "rho_g_cm3": 13.4, "cell": [[-4.854, 2.757, -2.645], [-2.975, -0.042, 5.414], [2.054, 4.736, 1.166]], "species": ["Pd", "Pd", "Pd", "Pt", "Pt", "Pd", "Pd", "Pd", "Ir", "Pd", "Ir", "Pd"], "frac_coords": [[0.749, 0.325, 0.602], [0.749, 0.675, 0.898], [0.325, 0.749, 0.102], [0.000, 0.500, 0.250], [0.500, 0.000, 0.750], [0.251, 0.675, 0.602], [0.675, 0.749, 0.398], [0.251, 0.325, 0.898], [0.000, 0.000, 0.000], [0.325, 0.251, 0.398], [0.000, 0.000, 0.500], [0.675, 0.251, 0.102]]}

(3)
{"formula": "IrPdPt3", "functional": "GGA-PBE", "state": "optimized geometry", "spacegroup": "No. 221", "relative_energy_ev_per_atom": 1.395, "ef_mev_per_atom": 1409, "dos_ef_per_ev_cell": 8.40, "rho_g_cm3": 13.2, "cell": [[4.805, 0.000, 0.000], [0.000, 4.805, 0.000], [0.000, 0.000, 4.805]], "species": ["Pd", "Pt", "Pt", "Pt", "Ir"], "frac_coords": [[0.500, 0.500, 0.500], [0.000, 0.500, 0.000], [0.000, 0.000, 0.500], [0.500, 0.000, 0.000], [0.000, 0.000, 0.000]]}

(4)
{"formula": "Ir2Pd2Pt", "functional": "GGA-PBE", "state": "optimized geometry", "spacegroup": "No. 127", "ef_mev_per_atom": 441, "dos_ef_per_ev_cell": 29.50, "rho_g_cm3": 16.5, "cell": [[-0.467, 5.572, 5.019], [2.513, -4.621, 5.364], [2.653, 0.756, -0.592]], "species": ["Ir", "Pt", "Pd", "Pd", "Ir", "Pd", "Ir", "Pt", "Pd", "Ir"], "frac_coords": [[0.379, 0.879, 0.000], [0.000, 0.000, 0.000], [0.176, 0.676, 0.500], [0.324, 0.176, 0.500], [0.621, 0.121, 0.000], [0.676, 0.824, 0.500], [0.879, 0.621, 0.000], [0.500, 0.500, 0.000], [0.824, 0.324, 0.500], [0.121, 0.379, 0.000]]}

(5)
{"formula": "IrPd2Pt9", "functional": "GGA-PBE", "state": "optimized geometry", "spacegroup": "No. 123", "ef_mev_per_atom": -3, "dos_ef_per_ev_cell": 23.19, "rho_g_cm3": 19.3, "cell": [[-0.402, 2.003, -3.392], [-3.886, 0.355, 0.670], [1.925, 10.173, 5.780]], "species": ["Pt", "Pd", "Pt", "Pt", "Ir", "Pt", "Pt", "Pd", "Pt", "Pt", "Pt", "Pt"], "frac_coords": [[0.500, 0.000, 0.164], [0.000, 0.000, 0.670], [0.500, 0.000, 0.500], [0.000, 0.500, 0.164], [0.000, 0.000, 0.000], [0.500, 0.500, 0.666], [0.500, 0.500, 0.000], [0.000, 0.000, 0.330], [0.000, 0.500, 0.836], [0.000, 0.500, 0.500], [0.500, 0.000, 0.836], [0.500, 0.500, 0.334]]}

(6)
{"formula": "IrPdPt", "functional": "GGA-PBE", "state": "optimized geometry", "spacegroup": "No. 5", "relative_energy_ev_per_atom": 0.028, "ef_mev_per_atom": 79, "dos_ef_per_ev_cell": 20.43, "rho_g_cm3": 18.1, "cell": [[-4.039, -0.448, -2.551], [3.127, -6.744, -3.766], [-0.401, -2.477, 4.103]], "species": ["Pd", "Pt", "Pt", "Pt", "Pd", "Pd", "Ir", "Pd", "Ir", "Pt", "Ir", "Ir"], "frac_coords": [[0.500, 0.915, 0.000], [0.000, 0.915, 0.500], [0.000, 0.415, 0.000], [0.000, 0.245, 0.500], [0.000, 0.583, 0.500], [0.500, 0.415, 0.500], [0.500, 0.752, 0.500], [0.000, 0.083, 0.000], [0.500, 0.252, 0.000], [0.000, 0.745, 0.000], [0.500, 0.081, 0.500], [0.500, 0.581, 0.000]]}

(7)
{"formula": "IrPdPt", "functional": "GGA-PBE", "state": "optimized geometry", "spacegroup": "No. 11", "relative_energy_ev_per_atom": 0.035, "ef_mev_per_atom": 86, "dos_ef_per_ev_cell": 10.96, "rho_g_cm3": 18.1, "cell": [[3.924, 0.000, -0.247], [0.000, 3.943, 0.000], [-1.586, 0.000, 5.971]], "species": ["Ir", "Pd", "Ir", "Pt", "Pt", "Pd"], "frac_coords": [[0.250, 0.750, 0.999], [0.586, 0.750, 0.672], [0.750, 0.250, 0.001], [0.088, 0.250, 0.675], [0.912, 0.750, 0.325], [0.414, 0.250, 0.328]]}

(8)
{"formula": "IrPd2Pt", "functional": "GGA-PBE", "state": "optimized geometry", "spacegroup": "No. 123", "relative_energy_ev_per_atom": 0.043, "ef_mev_per_atom": 96, "dos_ef_per_ev_cell": 5.45, "rho_g_cm3": 16.4, "cell": [[-0.673, -1.699, 3.477], [3.558, 1.115, 1.234], [-1.520, 3.361, 1.348]], "species": ["Pt", "Pd", "Ir", "Pd"], "frac_coords": [[0.500, 0.000, 0.000], [0.000, 0.000, 0.500], [0.500, 0.500, 0.500], [0.000, 0.500, 0.000]]}

(9)
{"formula": "Ir2PdPt2", "functional": "GGA-PBE", "state": "optimized geometry", "spacegroup": "No. 127", "relative_energy_ev_per_atom": 0.000, "ef_mev_per_atom": 295, "dos_ef_per_ev_cell": 17.98, "rho_g_cm3": 18.0, "cell": [[-7.210, 0.843, -2.467], [0.697, -6.368, -4.213], [-0.905, -1.507, 2.129]], "species": ["Pt", "Ir", "Pd", "Pt", "Pd", "Ir", "Pt", "Ir", "Ir", "Pt"], "frac_coords": [[0.177, 0.677, 0.500], [0.879, 0.621, 0.000], [0.500, 0.500, 0.000], [0.823, 0.323, 0.500], [0.000, 0.000, 0.000], [0.621, 0.121, 0.000], [0.323, 0.177, 0.500], [0.379, 0.879, 0.000], [0.121, 0.379, 0.000], [0.677, 0.823, 0.500]]}

(10)
{"formula": "IrPd2Pt", "functional": "GGA-PBE", "state": "optimized geometry", "spacegroup": "No. 225", "relative_energy_ev_per_atom": 0.232, "ef_mev_per_atom": 285, "dos_ef_per_ev_cell": 6.03, "rho_g_cm3": 16.2, "cell": [[2.447, -1.721, 3.270], [-1.529, -3.443, 2.336], [1.846, -4.000, -0.483]], "species": ["Ir", "Pd", "Pd", "Pt"], "frac_coords": [[0.000, 0.000, 0.000], [0.250, 0.250, 0.250], [0.750, 0.750, 0.750], [0.500, 0.500, 0.500]]}

(11)
{"formula": "IrPdPt", "functional": "GGA-PBE", "state": "optimized geometry", "spacegroup": "No. 12", "relative_energy_ev_per_atom": 0.009, "ef_mev_per_atom": 60, "dos_ef_per_ev_cell": 15.96, "rho_g_cm3": 18.1, "cell": [[-2.951, -2.629, -3.915], [-0.707, -2.939, 2.507], [-5.383, 5.195, 4.573]], "species": ["Pt", "Pd", "Pd", "Pt", "Ir", "Pt", "Ir", "Pd", "Ir", "Pd", "Pt", "Ir"], "frac_coords": [[0.245, 0.000, 0.998], [0.582, 0.000, 0.668], [0.418, 0.500, 0.832], [0.755, 0.000, 0.002], [0.073, 0.000, 0.665], [0.755, 0.500, 0.502], [0.927, 0.000, 0.335], [0.582, 0.500, 0.168], [0.927, 0.500, 0.835], [0.418, 0.000, 0.332], [0.245, 0.500, 0.498], [0.073, 0.500, 0.165]]}

(12)
{"formula": "IrPd7Pt4", "functional": "GGA-PBE", "state": "optimized geometry", "spacegroup": "No. 164", "ef_mev_per_atom": -5, "dos_ef_per_ev_cell": 24.02, "rho_g_cm3": 15.5, "cell": [[1.391, -2.408, 0.000], [1.391, 2.408, 0.000], [0.000, 0.000, 27.491]], "species": ["Pd", "Pd", "Pt", "Pd", "Ir", "Pd", "Pd", "Pt", "Pt", "Pt", "Pd", "Pd"], "frac_coords": [[0.000, 0.000, 0.000], [0.333, 0.667, 0.420], [0.667, 0.333, 0.335], [0.667, 0.333, 0.580], [0.000, 0.000, 0.500], [0.333, 0.667, 0.168], [0.000, 0.000, 0.251], [0.333, 0.667, 0.665], [0.667, 0.333, 0.084], [0.333, 0.667, 0.916], [0.667, 0.333, 0.832], [0.000, 0.000, 0.749]]}

(13)
{"formula": "IrPdPt", "functional": "GGA-PBE", "state": "optimized geometry", "spacegroup": "No. 107", "relative_energy_ev_per_atom": 0.034, "ef_mev_per_atom": 85, "dos_ef_per_ev_cell": 4.95, "rho_g_cm3": 18.0, "cell": [[-1.609, 0.832, -2.113], [-2.118, -1.483, 1.029], [0.139, 4.969, 3.683]], "species": ["Ir", "Pd", "Pt"], "frac_coords": [[0.666, 0.666, 0.333], [0.330, 0.330, 0.659], [0.004, 0.004, 0.008]]}

(14)
{"formula": "IrPd2Pt", "functional": "GGA-PBE", "state": "optimized geometry", "spacegroup": "No. 122", "relative_energy_ev_per_atom": 0.501, "ef_mev_per_atom": 554, "dos_ef_per_ev_cell": 13.49, "rho_g_cm3": 14.9, "cell": [[-6.379, -2.327, 1.980], [2.336, -0.759, 6.633], [-2.767, 0.970, 4.857]], "species": ["Ir", "Pd", "Pd", "Pt", "Pt", "Pd", "Ir", "Pd"], "frac_coords": [[0.500, 0.500, 0.000], [0.134, 0.625, 0.250], [0.375, 0.384, 0.750], [0.750, 0.250, 0.500], [0.000, 0.000, 0.000], [0.616, 0.125, 0.250], [0.250, 0.750, 0.500], [0.875, 0.866, 0.750]]}

(15)
{"formula": "Re2IrPdPt", "functional": "GGA-PBE", "state": "optimized geometry", "spacegroup": "No. 123", "ef_mev_per_atom": 1979, "dos_ef_per_ev_cell": 6.80, "rho_g_cm3": 13.6, "cell": [[-3.268, -3.318, -0.188], [2.795, -2.908, 2.746], [-1.980, 1.732, 3.848]], "species": ["Re", "Re", "Pt", "Ir", "Pd"], "frac_coords": [[0.000, 0.000, 0.500], [0.500, 0.000, 0.000], [0.000, 0.500, 0.000], [0.000, 0.000, 0.000], [0.500, 0.500, 0.500]]}

(16)
{"formula": "IrPdPtRh", "functional": "GGA-PBE", "state": "optimized geometry", "spacegroup": "No. 160", "ef_mev_per_atom": 20, "dos_ef_per_ev_cell": 5.83, "rho_g_cm3": 16.6, "cell": [[2.759, 0.000, 0.000], [1.380, 2.390, 0.000], [1.380, 0.797, 9.053]], "species": ["Ir", "Rh", "Pd", "Pt"], "frac_coords": [[0.382, 0.382, 0.855], [0.794, 0.794, 0.619], [0.631, 0.631, 0.108], [0.211, 0.211, 0.368]]}

(17)
{"formula": "SbIrPd2Pt", "functional": "GGA-PBE", "state": "optimized geometry", "spacegroup": "No. 123", "dos_ef_per_ev_cell": 8.60, "rho_g_cm3": 10.6, "total_energy_ev_per_atom": -4.626, "cell": [[-0.244, 1.511, -4.572], [-2.570, -3.969, -1.174], [-4.089, 2.353, 0.996]], "species": ["Pt", "Ir", "Pd", "Sb", "Pd"], "frac_coords": [[0.000, 0.500, 0.000], [0.500, 0.500, 0.500], [0.000, 0.000, 0.500], [0.000, 0.000, 0.000], [0.500, 0.000, 0.000]]}

(18)
{"formula": "IrPd2PtSe8", "functional": "GGA-PBE", "state": "optimized geometry", "spacegroup": "No. 119", "dos_ef_per_ev_cell": 8.68, "rho_g_cm3": 7.2, "total_energy_ev_per_atom": -4.239, "cell": [[7.154, 0.579, 0.000], [-2.654, 6.668, 0.000], [-2.250, -3.623, 5.773]], "species": ["Ir", "Se", "Pd", "Pd", "Se", "Se", "Se", "Se", "Se", "Pt", "Se", "Se"], "frac_coords": [[0.250, 0.750, 0.500], [0.908, 0.729, 0.179], [0.500, 0.500, 0.000], [0.750, 0.250, 0.500], [0.271, 0.092, 0.821], [0.346, 0.016, 0.330], [0.984, 0.654, 0.670], [0.984, 0.314, 0.330], [0.686, 0.016, 0.670], [0.000, 0.000, 0.000], [0.271, 0.450, 0.179], [0.550, 0.729, 0.821]]}

(19)
{"formula": "SnIr2PdPt", "functional": "GGA-PBE", "state": "optimized geometry", "spacegroup": "No. 123", "ef_mev_per_atom": 1634, "dos_ef_per_ev_cell": 6.62, "rho_g_cm3": 12.2, "cell": [[-3.329, -0.582, -3.376], [1.165, -4.652, -0.347], [-3.224, -1.059, 3.362]], "species": ["Pd", "Ir", "Pt", "Sn", "Ir"], "frac_coords": [[0.000, 0.000, 0.000], [0.500, 0.000, 0.000], [0.500, 0.500, 0.500], [0.000, 0.500, 0.000], [0.000, 0.000, 0.500]]}

(20)
{"formula": "TcIrPdPt", "functional": "GGA-PBE", "state": "optimized geometry", "spacegroup": "No. 99", "ef_mev_per_atom": -154, "dos_ef_per_ev_cell": 3.65, "rho_g_cm3": 16.4, "cell": [[-0.536, 2.669, -0.380], [-2.272, -0.655, -1.401], [-4.180, 0.118, 6.724]], "species": ["Pt", "Tc", "Pd", "Ir"], "frac_coords": [[0.000, 0.000, 0.081], [0.500, 0.500, 0.330], [0.500, 0.500, 0.817], [0.000, 0.000, 0.557]]}

(21)
{"formula": "Pu5IrPd2", "functional": "GGA-PBE", "state": "optimized geometry", "spacegroup": "No. 140", "ef_mev_per_atom": -307, "dos_ef_per_ev_cell": 74.79, "rho_g_cm3": 14.5, "cell": [[6.751, 0.000, -3.187], [-1.504, 6.581, -3.187], [-0.106, -0.133, 8.519]], "species": ["Pu", "Pu", "Pd", "Pu", "Pd", "Pu", "Ir", "Pu", "Pd", "Pu", "Pu", "Pu", "Pd", "Pu", "Pu", "Ir"], "frac_coords": [[0.518, 0.674, 0.692], [0.018, 0.518, 0.692], [0.127, 0.373, 0.000], [0.000, 0.000, 0.000], [0.873, 0.627, 0.000], [0.826, 0.982, 0.308], [0.250, 0.250, 0.500], [0.326, 0.826, 0.308], [0.373, 0.873, 0.000], [0.482, 0.326, 0.308], [0.982, 0.482, 0.308], [0.500, 0.500, 0.000], [0.627, 0.127, 0.000], [0.674, 0.174, 0.692], [0.174, 0.018, 0.692], [0.750, 0.750, 0.500]]}

(22)
{"formula": "Pu3IrPd", "functional": "GGA-PBE", "state": "optimized geometry", "spacegroup": "No. 221", "ef_mev_per_atom": -293, "dos_ef_per_ev_cell": 59.04, "rho_g_cm3": 15.7, "cell": [[6.890, 0.000, 0.000], [0.000, 6.890, 0.000], [0.000, 0.000, 6.890]], "species": ["Pu", "Pd", "Pu", "Pu", "Pu", "Pu", "Pu", "Ir", "Pd", "Pu", "Ir", "Pd", "Pu", "Pu", "Ir"], "frac_coords": [[0.760, 0.760, 0.240], [0.000, 0.500, 0.500], [0.760, 0.760, 0.760], [0.240, 0.240, 0.760], [0.760, 0.240, 0.240], [0.760, 0.240, 0.760], [0.500, 0.500, 0.500], [0.000, 0.500, 0.000], [0.500, 0.500, 0.000], [0.240, 0.760, 0.240], [0.000, 0.000, 0.500], [0.500, 0.000, 0.500], [0.240, 0.760, 0.760], [0.240, 0.240, 0.240], [0.500, 0.000, 0.000]]}

(23)
{"formula": "Pu5Ir2Pd2", "functional": "GGA-PBE", "state": "optimized geometry", "spacegroup": "No. 46", "ef_mev_per_atom": -69, "dos_ef_per_ev_cell": 55.86, "rho_g_cm3": 16.7, "cell": [[-2.148, 5.960, 0.244], [0.285, -0.292, 9.646], [6.485, -0.828, -5.049]], "species": ["Ir", "Pu", "Pu", "Pu", "Pd", "Pu", "Pd", "Pu", "Pu", "Ir", "Pd", "Pu", "Pu", "Pu", "Ir", "Ir", "Pd", "Pu"], "frac_coords": [[0.000, 0.081, 0.000], [0.469, 0.173, 0.738], [0.181, 0.665, 0.784], [0.041, 0.726, 0.500], [0.794, 0.424, 0.825], [0.819, 0.881, 0.216], [0.206, 0.599, 0.175], [0.531, 0.435, 0.262], [0.104, 0.165, 0.784], [0.663, 0.852, 0.500], [0.531, 0.924, 0.825], [0.959, 0.226, 0.500], [0.769, 0.673, 0.738], [0.231, 0.935, 0.262], [0.337, 0.352, 0.500], [0.500, 0.581, 0.000], [0.469, 0.099, 0.175], [0.896, 0.381, 0.216]]}

(24)
{"formula": "Pu6IrPd3", "functional": "GGA-PBE", "state": "optimized geometry", "spacegroup": "No. 225", "ef_mev_per_atom": 294, "dos_ef_per_ev_cell": 63.56, "rho_g_cm3": 10.8, "cell": [[-5.883, -1.265, 4.567], [-2.004, -7.081, 1.705], [1.138, -2.672, 6.973]], "species": ["Pd", "Pu", "Pu", "Pu", "Pu", "Pd", "Ir", "Pu", "Pu", "Pd"], "frac_coords": [[0.750, 0.750, 0.750], [0.752, 0.248, 0.752], [0.248, 0.752, 0.248], [0.248, 0.752, 0.752], [0.752, 0.752, 0.248], [0.250, 0.250, 0.250], [0.000, 0.000, 0.000], [0.752, 0.248, 0.248], [0.248, 0.248, 0.752], [0.500, 0.500, 0.500]]}